--- P ---
## YHf2Ga2 (GGA-PBE)

Data for a relaxed YHf2Ga2 crystal.

```
YHf2Ga2
1.0
-2.904 -5.654 5.404
5.962 2.131 5.433
-1.833 2.084 1.195
Y Hf Ga
2 4 4
Cartesian
0.000 0.000 0.000
1.529 -1.762 5.419
4.125 -0.253 6.772
1.192 -3.609 8.125
-1.067 -3.270 4.065
1.866 0.086 2.713
2.586 1.506 5.163
2.081 -0.982 8.728
-1.361 -2.946 6.870
-0.856 -0.457 3.304
```

Computed properties:
Symmetry ... P4/mbm (127)

=====

--- Q ---
## YHf2Ga2 (GGA-PBE)

Data for a relaxed YHf2Ga2 crystal.

```
YHf2Ga2
1.0
7.771 0.000 0.000
0.000 7.771 0.000
0.000 0.000 3.463
Y Hf Ga
2 4 4
Cartesian
0.000 0.000 0.000
3.886 3.886 0.000
1.371 5.257 1.731
5.257 6.400 1.731
6.400 2.514 1.731
2.514 1.371 1.731
2.951 6.837 0.000
6.837 4.820 0.000
4.820 0.934 0.000
0.934 2.951 0.000
```

Computed properties:
Symmetry ... P4/mbm (127)

=====

Name the least stable of them. P.